w | Density functional theory data (GGA-PBE) for a geometry-optimized AcTb2Pr6 structure.

The structure in POSCAR format:
```
AcTb2Pr6
1.0
5.799 -0.898 0.157
-1.538 10.407 6.459
-2.995 1.931 11.819
Pr Tb Ac
12 4 2
Direct
0.163 0.495 0.330 Pr
0.662 0.996 0.829 Pr
0.920 0.921 0.420 Pr
0.663 0.330 0.495 Pr
0.080 0.079 0.580 Pr
0.580 0.580 0.079 Pr
0.338 0.004 0.171 Pr
0.837 0.505 0.670 Pr
0.838 0.171 0.004 Pr
0.337 0.670 0.505 Pr
0.162 0.829 0.996 Pr
0.420 0.420 0.921 Pr
0.000 0.667 0.833 Tb
0.500 0.833 0.667 Tb
0.000 0.333 0.167 Tb
0.500 0.167 0.333 Tb
0.250 0.250 0.750 Ac
0.750 0.750 0.250 Ac
```

Values from the calculation:
Density of states at the Fermi level in states/eV/f.u.: 12.3
Total moment in μB per formula unit: 0.00
Space-group type: Cmmm (65)
V in Å³/atom: 35.9



x | Density functional theory data (GGA-PBE) for a geometry-optimized AcTb2Pr6 structure.

The structure in POSCAR format:
```
AcTb2Pr6
1.0
-2.061 2.343 2.011
1.528 -2.976 1.608
22.622 14.814 5.918
Pr Ac Tb
6 1 2
Direct
0.667 0.333 0.116 Pr
0.333 0.667 0.565 Pr
0.333 0.667 0.435 Pr
0.333 0.667 0.225 Pr
0.333 0.667 0.775 Pr
0.667 0.333 0.884 Pr
0.333 0.667 0.000 Ac
0.667 0.333 0.668 Tb
0.667 0.333 0.332 Tb
```

Values from the calculation:
Density of states at the Fermi level in states/eV/f.u.: 14.3
Total moment in μB per formula unit: 0.00
Space-group type: P-6m2 (187)
V in Å³/atom: 36.7



Which structure is the least stable? The one labeled x.



w | Density functional theory data (GGA-PBE) for a geometry-optimized AcTb4Pr3 structure.

The structure in POSCAR format:
```
AcTb4Pr3
1.0
-2.955 -1.885 -0.415
-1.999 -2.082 8.684
-6.387 6.363 1.567
Pr Ac Tb
3 1 4
Direct
0.000 0.500 0.500 Pr
0.243 0.757 0.757 Pr
0.757 0.243 0.243 Pr
0.500 0.000 0.000 Ac
0.636 0.611 0.117 Tb
0.364 0.883 0.389 Tb
0.364 0.389 0.883 Tb
0.636 0.117 0.611 Tb
```

Values from the calculation:
Density of states at the Fermi level in states/eV/f.u.: 12.7
Total moment in μB per formula unit: 0.00
Space-group type: Immm (71)
V in Å³/atom: 35.3



x | Density functional theory data (GGA-PBE) for a geometry-optimized AcTb4Pr3 structure.

The structure in POSCAR format:
```
AcTb4Pr3
1.0
6.400 0.000 0.000
0.000 7.441 0.000
0.000 0.000 11.855
Tb Pr Ac
8 6 2
Direct
0.149 0.381 0.252 Tb
0.649 0.619 0.248 Tb
0.979 0.621 0.000 Tb
0.480 0.384 0.000 Tb
0.980 0.616 0.500 Tb
0.149 0.381 0.748 Tb
0.479 0.379 0.500 Tb
0.649 0.619 0.752 Tb
0.983 0.133 0.500 Pr
0.643 0.131 0.248 Pr
0.643 0.131 0.752 Pr
0.143 0.869 0.252 Pr
0.143 0.869 0.748 Pr
0.483 0.867 0.000 Pr
0.989 0.128 0.000 Ac
0.489 0.872 0.500 Ac
```

Values from the calculation:
Density of states at the Fermi level in states/eV/f.u.: 14.4
Total moment in μB per formula unit: 0.00
Space-group type: Pmn2_1 (31)
V in Å³/atom: 35.3



Which structure is the least stable? The one labeled w.



w | Density functional theory data (GGA-PBE) for a geometry-optimized AcTb2Pr2 structure.

The structure in POSCAR format:
```
AcTb2Pr2
1.0
-3.295 1.611 -0.682
-1.048 -0.652 3.520
7.051 11.022 2.164
Ac Pr Tb
1 2 2
Direct
0.000 0.000 0.000 Ac
0.392 0.392 0.785 Pr
0.608 0.608 0.215 Pr
0.796 0.796 0.592 Tb
0.204 0.204 0.408 Tb
```

Values from the calculation:
Density of states at the Fermi level in states/eV/f.u.: 7.7
Total moment in μB per formula unit: 0.00
Space-group type: I4/mmm (139)
V in Å³/atom: 36.2



x | Density functional theory data (GGA-PBE) for a geometry-optimized AcTb2Pr2 structure.

The structure in POSCAR format:
```
AcTb2Pr2
1.0
5.286 0.000 -2.976
-1.676 5.013 -2.977
0.264 0.367 6.652
Pr Ac Tb
2 1 2
Direct
0.857 0.357 0.214 Pr
0.143 0.643 0.786 Pr
0.500 0.000 0.500 Ac
0.750 0.750 0.000 Tb
0.250 0.250 0.000 Tb
```

Values from the calculation:
Density of states at the Fermi level in states/eV/f.u.: 6.7
Total moment in μB per formula unit: 0.00
Space-group type: I4/mmm (139)
V in Å³/atom: 37.6



Which structure is the least stable? The one labeled x.



w | Density functional theory data (GGA-PBE) for a geometry-optimized Ac2TbPr4 structure.

The structure in POSCAR format:
```
Ac2TbPr4
1.0
5.793 0.000 0.000
0.000 5.793 0.000
-2.896 -2.896 9.122
Pr Ac Tb
4 2 1
Direct
0.500 0.000 0.000 Pr
0.000 0.500 0.000 Pr
0.609 0.609 0.219 Pr
0.391 0.391 0.781 Pr
0.814 0.814 0.627 Ac
0.186 0.186 0.373 Ac
0.000 0.000 0.000 Tb
```

Values from the calculation:
Density of states at the Fermi level in states/eV/f.u.: 13.0
Total moment in μB per formula unit: 0.73
Space-group type: I4/mmm (139)
V in Å³/atom: 43.7



x | Density functional theory data (GGA-PBE) for a geometry-optimized Ac2TbPr4 structure.

The structure in POSCAR format:
```
Ac2TbPr4
1.0
7.876 1.152 -2.690
-3.215 6.733 -1.201
-0.595 1.365 9.109
Pr Tb Ac
8 2 4
Direct
0.379 0.804 0.823 Pr
0.516 0.084 0.537 Pr
0.806 0.666 0.963 Pr
0.099 0.736 0.397 Pr
0.223 0.014 0.103 Pr
0.943 0.946 0.677 Pr
0.094 0.233 0.391 Pr
0.227 0.517 0.109 Pr
0.513 0.592 0.535 Tb
0.808 0.158 0.965 Tb
0.661 0.375 0.250 Ac
0.378 0.302 0.819 Ac
0.661 0.875 0.250 Ac
0.943 0.447 0.681 Ac
```

Values from the calculation:
Density of states at the Fermi level in states/eV/f.u.: 12.0
Total moment in μB per formula unit: 0.00
Space-group type: P-1 (2)
V in Å³/atom: 38.0



Which structure is the least stable? The one labeled w.